A plane-wave DFT calculation with PBE+U was carried out for crystalline CrBiF2 at its relaxed geometry.

a = 9.125 Å, b = 9.125 Å, c = 9.125 Å
α = 21.17°, β = 21.17°, γ = 21.17°
Positions (direct):
Cr 0.000 0.000 0.000
Bi 0.500 0.500 0.500
F 0.367 0.367 0.367
F 0.633 0.633 0.633

## Properties
Mass density = 5.72 Mg/m³
Offset from the most stable computed form = 0.00 eV per formula unit
V = 86.80 Å³/cell
Total DFT energy (no corrections) = -5.34 eV/atom
Total magnetization = 3.97 μB/cell